(1)
Pm3Nd2Sm8: relaxed, PBE-GGA.

Lattice parameters (Å, degrees): 5.157 8.133 10.916 94.23 103.60 90.02
Space group P-1 (No. 2)
Unique sites:
Pm (0.000, 0.000, 0.000) [1 per cell]
Pm (0.462, 0.692, 0.923) [2 per cell]
Nd (0.231, 0.846, 0.461) [2 per cell]
Sm (0.077, 0.615, 0.153) [2 per cell]
Sm (0.154, 0.232, 0.307) [2 per cell]
Sm (0.308, 0.461, 0.616) [2 per cell]
Sm (0.385, 0.077, 0.770) [2 per cell]

Energy relative to the lowest polymorph listed for this composition in eV/atom: 0.000


(2)
Tb2Pm3Nd6Sm: relaxed, PBE-GGA.

Lattice parameters (Å, degrees): 6.329 10.964 12.071 90.00 100.09 90.00
Space group C2/m (No. 12)
Unique sites:
Tb (0.000, 0.167, 0.000) [4 per cell]
Pm (0.000, 0.000, 0.500) [2 per cell]
Pm (0.000, 0.333, 0.500) [4 per cell]
Nd (0.249, 0.000, 0.248) [4 per cell]
Nd (0.250, 0.167, 0.752) [8 per cell]
Sm (0.000, 0.500, 0.000) [2 per cell]


(3)
Tb3PmNd6Sm2: relaxed, PBE-GGA.

Lattice parameters (Å, degrees): 6.317 10.942 12.022 90.00 100.09 90.00
Space group C2/m (No. 12)
Unique sites:
Tb (0.000, 0.000, 0.000) [2 per cell]
Tb (0.000, 0.333, 0.000) [4 per cell]
Pm (0.000, 0.500, 0.500) [2 per cell]
Nd (0.249, 0.167, 0.248) [8 per cell]
Nd (0.249, 0.500, 0.248) [4 per cell]
Sm (0.000, 0.167, 0.500) [4 per cell]


(4)
Tb2Pm2NdSm2: relaxed, PBE-GGA.

Lattice parameters (Å, degrees): 11.449 5.120 8.112 90.00 98.11 90.00
Space group C2/m (No. 12)
Unique sites:
Tb (0.072, 0.000, 0.213) [4 per cell]
Pm (0.143, 0.500, 0.929) [4 per cell]
Nd (0.000, 0.500, 0.500) [2 per cell]
Sm (0.214, 0.000, 0.643) [4 per cell]


(5)
Tb2Pm2Nd2Sm: relaxed, PBE-GGA.

Lattice parameters (Å, degrees): 11.466 5.133 8.132 90.00 98.07 90.00
Space group C2/m (No. 12)
Unique sites:
Tb (0.072, 0.000, 0.213) [4 per cell]
Pm (0.142, 0.500, 0.928) [4 per cell]
Nd (0.214, 0.000, 0.643) [4 per cell]
Sm (0.000, 0.500, 0.500) [2 per cell]


(6)
TbPmNd2Sm4: relaxed, PBE-GGA.

Lattice parameters (Å, degrees): 13.794 13.370 6.929 90.00 119.93 90.00
Space group C2/c (No. 15)
Unique sites:
Tb (0.000, 0.000, 0.000) [4 per cell]
Pm (0.250, 0.250, 0.000) [4 per cell]
Nd (0.000, 0.500, 0.000) [4 per cell]
Nd (0.250, 0.250, 0.500) [4 per cell]
Sm (0.000, 0.246, 0.000) [8 per cell]
Sm (0.247, 0.000, 0.456) [8 per cell]


It is found that the energy relative to the elements values, taken in the order of the records, are 13, 12, 12, 13, 13, 388 meV per atom.
It is found that the total energy values, taken in the order of the records, are -4.72, -4.72, -4.71, -4.70, -4.70, -4.34 eV per atom.